Record 1
VASP calculation (SCAN) on a PBEsol-optimized structure of LiScRu2.

* E: -21.5478 eV per atom

abc: 2.7508 3.9623 5.3558
angles: 90.00 90.00 90.00
Element x y z (fractional)
1 Li 0.0000 0.0000 0.0000
2 Sc 0.0000 0.0000 0.5000
3 Ru 0.5000 0.5000 0.2211
4 Ru 0.5000 0.5000 0.7789

***

Record 2
VASP calculation (SCAN) on a PBEsol-optimized structure of CoH14C3NCl3O2.

* E: -6.4903 eV per atom

abc: 16.4008 7.1197 7.8866
angles: 90.00 90.00 90.00
Element x y z (fractional)
1 Co 0.0000 0.0000 0.0000
2 Co 0.0000 0.5000 0.0000
3 Co 0.5000 0.0000 0.5000
4 Co 0.5000 0.5000 0.5000
5 H 0.0182 0.1004 0.3208
6 H 0.0182 0.3996 0.3208
7 H 0.0429 0.0733 0.6806
8 H 0.0429 0.4267 0.6806
9 H 0.1226 0.7500 0.7514
10 H 0.1366 0.6231 0.4724
11 H 0.1366 0.8769 0.4724
12 H 0.1903 0.0452 0.7092
13 H 0.1903 0.4548 0.7092
14 H 0.2137 0.0814 0.2029
15 H 0.2137 0.4186 0.2029
16 H 0.2249 0.5807 0.8937
17 H 0.2249 0.9193 0.8937
18 H 0.2314 0.7500 0.4520
19 H 0.2686 0.2500 0.9520
20 H 0.2751 0.0807 0.3937
21 H 0.2751 0.4193 0.3937
22 H 0.2863 0.5814 0.7029
23 H 0.2863 0.9186 0.7029
24 H 0.3097 0.5452 0.2092
25 H 0.3097 0.9548 0.2092
26 H 0.3634 0.1231 0.9724
27 H 0.3634 0.3769 0.9724
28 H 0.3774 0.2500 0.2514
29 H 0.4571 0.5733 0.1806
30 H 0.4571 0.9267 0.1806
31 H 0.4818 0.6004 0.8208
32 H 0.4818 0.8996 0.8208
33 H 0.5182 0.1004 0.1792
34 H 0.5182 0.3996 0.1792
35 H 0.5429 0.0733 0.8194
36 H 0.5429 0.4267 0.8194
37 H 0.6226 0.7500 0.7486
38 H 0.6366 0.6231 0.0276
39 H 0.6366 0.8769 0.0276
40 H 0.6903 0.0452 0.7908
41 H 0.6903 0.4548 0.7908
42 H 0.7137 0.0814 0.2971
43 H 0.7137 0.4186 0.2971
44 H 0.7249 0.5807 0.6063
45 H 0.7249 0.9193 0.6063
46 H 0.7314 0.7500 0.0480
47 H 0.7686 0.2500 0.5480
48 H 0.7751 0.0807 0.1063
49 H 0.7751 0.4193 0.1063
50 H 0.7863 0.5814 0.7971
51 H 0.7863 0.9186 0.7971
52 H 0.8097 0.5452 0.2908
53 H 0.8097 0.9548 0.2908
54 H 0.8634 0.1231 0.5276
55 H 0.8634 0.3769 0.5276
56 H 0.8774 0.2500 0.2486
57 H 0.9571 0.5733 0.3194
58 H 0.9571 0.9267 0.3194
59 H 0.9818 0.6004 0.6792
60 H 0.9818 0.8996 0.6792
61 C 0.1703 0.7500 0.5098
62 C 0.2239 0.5788 0.7545
63 C 0.2239 0.9212 0.7545
64 C 0.2761 0.0788 0.2545
65 C 0.2761 0.4212 0.2545
66 C 0.3297 0.2500 0.0098
67 C 0.6703 0.7500 0.9902
68 C 0.7239 0.5788 0.7455
69 C 0.7239 0.9212 0.7455
70 C 0.7761 0.0788 0.2455
71 C 0.7761 0.4212 0.2455
72 C 0.8297 0.2500 0.4902
73 N 0.1808 0.7500 0.6964
74 N 0.3192 0.2500 0.1964
75 N 0.6808 0.7500 0.8036
76 N 0.8192 0.2500 0.3036
77 Cl 0.0896 0.2500 0.4955
78 Cl 0.0941 0.7500 0.0709
79 Cl 0.0976 0.2500 0.0102
80 Cl 0.4024 0.7500 0.5102
81 Cl 0.4059 0.2500 0.5709
82 Cl 0.4104 0.7500 0.9955
83 Cl 0.5896 0.2500 0.0045
84 Cl 0.5941 0.7500 0.4291
85 Cl 0.5976 0.2500 0.4898
86 Cl 0.9024 0.7500 0.9898
87 Cl 0.9059 0.2500 0.9291
88 Cl 0.9104 0.7500 0.5045
89 O 0.0261 0.5400 0.7469
90 O 0.0261 0.9600 0.7469
91 O 0.4739 0.0400 0.2469
92 O 0.4739 0.4600 0.2469
93 O 0.5261 0.5400 0.7531
94 O 0.5261 0.9600 0.7531
95 O 0.9739 0.0400 0.2531
96 O 0.9739 0.4600 0.2531

***

Record 3
VASP calculation (SCAN) on a PBEsol-optimized structure of Mg2TaNb.

* E: -26.7856 eV per atom

abc: 4.6856 4.6856 4.6856
angles: 60.00 60.00 60.00
Element x y z (fractional)
1 Mg 0.2500 0.2500 0.2500
2 Mg 0.7500 0.7500 0.7500
3 Ta 0.0000 0.0000 0.0000
4 Nb 0.5000 0.5000 0.5000

***

Record 4
VASP calculation (SCAN) on a PBEsol-optimized structure of Mg2Ag.

* E: -14.0144 eV per atom

abc: 8.7150 8.7150 8.7150
angles: 60.00 60.00 60.00
Element x y z (fractional)
1 Mg 0.0000 0.0000 0.0000
2 Mg 0.0000 0.0000 0.5000
3 Mg 0.0000 0.5000 0.0000
4 Mg 0.1832 0.1832 0.5668
5 Mg 0.1832 0.5668 0.1832
6 Mg 0.1832 0.5668 0.5668
7 Mg 0.4332 0.4332 0.8168
8 Mg 0.4332 0.8168 0.4332
9 Mg 0.4332 0.8168 0.8168
10 Mg 0.5000 0.0000 0.0000
11 Mg 0.5668 0.1832 0.1832
12 Mg 0.5668 0.1832 0.5668
13 Mg 0.5668 0.5668 0.1832
14 Mg 0.8168 0.4332 0.4332
15 Mg 0.8168 0.4332 0.8168
16 Mg 0.8168 0.8168 0.4332
17 Ag 0.1443 0.7852 0.7852
18 Ag 0.2148 0.2148 0.2148
19 Ag 0.2148 0.2148 0.8557
20 Ag 0.2148 0.8557 0.2148
21 Ag 0.7852 0.1443 0.7852
22 Ag 0.7852 0.7852 0.1443
23 Ag 0.7852 0.7852 0.7852
24 Ag 0.8557 0.2148 0.2148

***

Record 5
VASP calculation (SCAN) on a PBEsol-optimized structure of SrCa2Al.

* E: -12.3882 eV per atom

abc: 7.0495 7.0495 7.0495
angles: 148.05 130.59 60.05
Element x y z (fractional)
1 Sr 0.0000 0.0000 0.0000
2 Ca 0.2970 0.7970 0.5000
3 Ca 0.7030 0.2030 0.5000
4 Al 0.5000 0.5000 0.0000

***

Record 6
VASP calculation (SCAN) on a PBEsol-optimized structure of YBe2Pb.

* E: -27.8096 eV per atom

abc: 3.4447 3.4447 6.3389
angles: 90.00 90.00 90.00
Element x y z (fractional)
1 Y 0.0000 0.0000 0.0000
2 Be 0.5000 0.5000 0.2961
3 Be 0.5000 0.5000 0.7039
4 Pb 0.0000 0.0000 0.5000

***

Record 7
VASP calculation (SCAN) on a PBEsol-optimized structure of Ca2AlH10IO8.

* E: -8.4773 eV per atom

abc: 5.7277 5.7513 9.0823
angles: 73.54 89.94 60.23
Element x y z (fractional)
1 Ca 0.0000 0.0000 0.0000
2 Ca 0.3739 0.2556 0.1301
3 Al 0.6864 0.6287 0.0650
4 H 0.3779 0.2134 0.4686
5 H 0.4161 0.0962 0.8436
6 H 0.4158 0.6289 0.2857
7 H 0.5031 0.5426 0.8415
8 H 0.6423 0.9338 0.4661
9 H 0.8850 0.7056 0.2856
10 H 0.9460 0.3127 0.6620
11 H 0.9623 0.6258 0.8448
12 H 0.9678 0.0275 0.6645
13 H 0.9718 0.1600 0.2891
14 I 0.1407 0.6212 0.5657
15 O 0.4007 0.0052 0.9485
16 O 0.4116 0.6159 0.1810
17 O 0.4523 0.0741 0.4123
18 O 0.5979 0.4448 0.9491
19 O 0.7756 0.8117 0.1813
20 O 0.8976 0.1717 0.7176
21 O 0.9610 0.6416 0.9492
22 O 0.9725 0.2523 0.1811

***

Record 8
VASP calculation (SCAN) on a PBEsol-optimized structure of Mg4ZnRh.

* E: -10.9788 eV per atom

abc: 5.3639 5.3639 5.3639
angles: 60.00 60.00 60.00
Element x y z (fractional)
1 Mg 0.1254 0.1254 0.1254
2 Mg 0.1254 0.1254 0.6238
3 Mg 0.1254 0.6238 0.1254
4 Mg 0.6238 0.1254 0.1254
5 Zn 0.7500 0.7500 0.7500
6 Rh 0.5000 0.5000 0.5000

***

Record 9
VASP calculation (SCAN) on a PBEsol-optimized structure of RbCdPt3.

* E: -50.1179 eV per atom

abc: 4.9781 4.9781 4.9781
angles: 90.00 90.00 90.00
Element x y z (fractional)
1 Rb 0.0000 0.0000 0.0000
2 Cd 0.5000 0.5000 0.5000
3 Pt 0.0000 0.0000 0.5000
4 Pt 0.0000 0.5000 0.0000
5 Pt 0.5000 0.0000 0.0000

***

Record 10
VASP calculation (SCAN) on a PBEsol-optimized structure of BaSr2Pb.

* E: -40.3368 eV per atom

abc: 4.0842 4.8097 8.6522
angles: 90.00 90.00 90.00
Element x y z (fractional)
1 Ba 0.0000 0.0000 0.0000
2 Sr 0.0000 0.0000 0.3990
3 Sr 0.5000 0.5000 0.6782
4 Pb 0.5000 0.5000 0.2226

***

Record 11
VASP calculation (SCAN) on a PBEsol-optimized structure of ScCu2O4.

* formation energy from raw total energies: -1.86 eV/atom
* E: -11.7958 eV per atom

abc: 6.0290 6.0290 6.0290
angles: 126.66 126.66 78.80
Element x y z (fractional)
1 Sc 0.3750 0.1250 0.2500
2 Sc 0.6250 0.8750 0.7500
3 Cu 0.0000 0.0000 0.5000
4 Cu 0.0000 0.5000 0.0000
5 Cu 0.0000 0.5000 0.5000
6 Cu 0.5000 0.5000 0.0000
7 O 0.0252 0.7353 0.9027
8 O 0.2353 0.8326 0.7101
9 O 0.3326 0.1226 0.5973
10 O 0.3774 0.4748 0.2101
11 O 0.6226 0.5252 0.7899
12 O 0.6674 0.8774 0.4027
13 O 0.7647 0.1674 0.2899
14 O 0.9748 0.2647 0.0973

***

Record 12
VASP calculation (SCAN) on a PBEsol-optimized structure of KTaSe2.

* formation energy from raw total energies: -0.04 eV/atom
* E: -28.8074 eV per atom

abc: 4.9526 4.9526 3.2500
angles: 90.00 90.00 90.00
Element x y z (fractional)
1 K 0.0000 0.0000 0.0000
2 Ta 0.5000 0.5000 0.0000
3 Se 0.0000 0.5000 0.5000
4 Se 0.5000 0.0000 0.5000

***

| no. | magnetization (μB/f.u.) |
| --- | --- |
| 1 | 0.0 |
| 2 | 3.0 |
| 3 | 0.0 |
| 4 | 0.0 |
| 5 | 0.7 |
| 6 | 0.0 |
| 7 | 0.0 |
| 8 | 0.0 |
| 9 | 0.0 |
| 10 | 0.0 |
| 11 | 1.0 |
| 12 | 0.9 |